Computed, not measured: an optimized crystal structure of ZrCu2Se2S at the PBE level of DFT.

a b c (Å): 9.7498 9.7498 6.8440
angles (deg): 96.75 96.75 22.90
Positions (direct):
Zr 0.1434 0.1434 0.0396
Zr 0.8566 0.8566 0.9604
Cu 0.2099 0.2099 0.4345
Cu 0.4573 0.4573 0.8357
Cu 0.5427 0.5427 0.1643
Cu 0.7901 0.7901 0.5655
Se 0.0823 0.0823 0.3599
Se 0.2543 0.2543 0.7844
Se 0.7457 0.7457 0.2156
Se 0.9177 0.9177 0.6401
S 0.4177 0.4177 0.1492
S 0.5823 0.5823 0.8508

Calculated values
Space group: C2/m (12)
Energy above the most stable polymorph in this dataset, eV per atom: 0.000
Total DFT energy (no corrections), eV per atom: -5.312


Computed, not measured: an optimized crystal structure of Rb2PbWN4 at the PBE level of DFT.

a b c (Å): 6.1346 6.1346 6.1346
angles (deg): 120.35 120.35 89.39
Positions (direct):
Rb 0.0000 0.0000 0.0000
Rb 0.7500 0.2500 0.5000
Pb 0.5000 0.5000 0.0000
W 0.2500 0.7500 0.5000
N 0.2413 0.6387 0.1475
N 0.3613 0.5088 0.6026
N 0.4912 0.0938 0.8525
N 0.9062 0.7587 0.3974

Calculated values
Space group: I-4 (82)
Total DFT energy (no corrections), eV per atom: -6.508


Computed, not measured: an optimized crystal structure of Gd2CuSe3 at the PBE level of DFT.

a b c (Å): 10.5901 3.9167 13.2991
angles (deg): 90.00 90.00 90.00
Positions (direct):
Gd 0.0182 0.2500 0.2434
Gd 0.2193 0.7500 0.5141
Gd 0.2807 0.2500 0.0141
Gd 0.4818 0.7500 0.7434
Gd 0.5182 0.2500 0.2566
Gd 0.7193 0.7500 0.9859
Gd 0.7807 0.2500 0.4859
Gd 0.9818 0.7500 0.7566
Cu 0.2336 0.2500 0.7245
Cu 0.2664 0.7500 0.2245
Cu 0.7336 0.2500 0.7755
Cu 0.7664 0.7500 0.2755
Se 0.0501 0.2500 0.6060
Se 0.1013 0.7500 0.0971
Se 0.2351 0.7500 0.8436
Se 0.2649 0.2500 0.3436
Se 0.3987 0.2500 0.5971
Se 0.4499 0.7500 0.1060
Se 0.5501 0.2500 0.8940
Se 0.6013 0.7500 0.4029
Se 0.7351 0.7500 0.6564
Se 0.7649 0.2500 0.1564
Se 0.8987 0.2500 0.9029
Se 0.9499 0.7500 0.3940

Calculated values
Space group: Pnma (62)
Energy above the most stable polymorph in this dataset, eV per atom: 0.000
Total DFT energy (no corrections), eV per atom: -5.315


Computed, not measured: an optimized crystal structure of BaErAuSe3 at the PBE level of DFT.

a b c (Å): 9.4592 9.4592 8.6770
angles (deg): 100.22 100.22 25.47
Positions (direct):
Ba 0.1313 0.1313 0.0787
Ba 0.8687 0.8687 0.9213
Er 0.1637 0.1637 0.5873
Er 0.8363 0.8363 0.4127
Au 0.4583 0.4583 0.2870
Au 0.5417 0.5417 0.7130
Se 0.0000 0.0000 0.5000
Se 0.3155 0.3155 0.1812
Se 0.3235 0.3235 0.6279
Se 0.5000 0.5000 0.0000
Se 0.6765 0.6765 0.3721
Se 0.6845 0.6845 0.8188

Calculated values
Space group: C2/m (12)
Total DFT energy (no corrections), eV per atom: -4.807


Computed, not measured: an optimized crystal structure of Li2Os2O5 at the PBE level of DFT.

a b c (Å): 3.3455 3.3455 7.9798
angles (deg): 90.00 90.00 90.00
Positions (direct):
Li 0.0000 0.0000 0.2473
Li 0.0000 0.0000 0.7527
Os 0.5000 0.5000 0.0000
Os 0.5000 0.5000 0.5000
O 0.0000 0.0000 0.0000
O 0.0000 0.5000 0.3574
O 0.0000 0.5000 0.6426
O 0.5000 0.0000 0.3574
O 0.5000 0.0000 0.6426

Calculated values
Space group: P4/mmm (123)
Energy above the most stable polymorph in this dataset, eV per atom: 0.600
Total DFT energy (no corrections), eV per atom: -6.122


Computed, not measured: an optimized crystal structure of HfNiIr2 at the PBE level of DFT.

a b c (Å): 4.4213 4.4213 4.4213
angles (deg): 60.00 60.00 60.00
Positions (direct):
Hf 0.0000 0.0000 0.0000
Ni 0.7500 0.7500 0.7500
Ir 0.2500 0.2500 0.2500
Ir 0.5000 0.5000 0.5000

Calculated values
Space group: F-43m (216)
Total DFT energy (no corrections), eV per atom: -8.582


Computed, not measured: an optimized crystal structure of NaYZn at the PBE level of DFT.

a b c (Å): 4.9785 4.9785 4.9785
angles (deg): 60.00 60.00 60.00
Positions (direct):
Na 0.0000 0.0000 0.0000
Y 0.2500 0.2500 0.2500
Zn 0.5000 0.5000 0.5000

Calculated values
Space group: F-43m (216)
Total DFT energy (no corrections), eV per atom: -2.460


Computed, not measured: an optimized crystal structure of Lu2CuN at the PBE level of DFT.

a b c (Å): 3.3728 3.3728 13.8270
angles (deg): 90.00 90.00 120.00
Positions (direct):
Lu 0.3333 0.6667 0.0978
Lu 0.3333 0.6667 0.4022
Lu 0.6667 0.3333 0.5978
Lu 0.6667 0.3333 0.9022
Cu 0.3333 0.6667 0.7500
Cu 0.6667 0.3333 0.2500
N 0.0000 0.0000 0.0000
N 0.0000 0.0000 0.5000

Calculated values
Space group: P6_3/mmc (194)
Energy above the most stable polymorph in this dataset, eV per atom: 0.000
Total DFT energy (no corrections), eV per atom: -6.131


> The highest total DFT energy (no corrections) belongs to which entry?

NaYZn


> Among the records above, which one has the lowest total DFT energy (no corrections)?

HfNiIr2


> Number 6 is which compound?

HfNiIr2